1.
Material: CePm2YHo
Method: DFT, PBE
State: relaxed

DFT formation energy = 0.291 eV per atom
Magnetic moment = 3.0 μB/cell
Total DFT energy (no corrections) = -50.0 eV per cell
Space group = No. 51

Cell lengths 5.9720, 7.5325, 7.3641 Å; angles 90.00, 90.00, 90.00 degrees
Closest atoms and distances in Å follow each position.
Fractional positions:
Ce1 0.0000 0.0000 0.0000  2 Ce 2.99, 2 Y 3.22
Ce2 0.5000 0.0000 0.0000  2 Ce 2.99, 2 Y 3.22
Pm1 0.2500 0.2911 0.3143  1 Y 3.11, 1 Pm 3.15
Pm2 0.2500 0.7089 0.3143  1 Y 3.11, 1 Pm 3.15
Pm3 0.7500 0.2911 0.6857  1 Y 3.11, 1 Pm 3.15
Pm4 0.7500 0.7089 0.6857  1 Y 3.11, 1 Pm 3.15
Y1 0.2500 0.0000 0.6133  2 Pm 3.11, 2 Ce 3.22, 2 Y 3.42
Y2 0.7500 0.0000 0.3867  2 Pm 3.11, 2 Ce 3.22, 2 Y 3.42
Ho1 0.2500 0.5000 0.8537  6 Pm 3.59-3.74, 2 Ho 3.68
Ho2 0.7500 0.5000 0.1463  6 Pm 3.59-3.74, 2 Ho 3.68

---

2.
Material: CePmHoZn
Method: DFT, PBE
State: relaxed

DFT formation energy = 0.097 eV per atom
Magnetic moment = 1.6 μB/cell
Total DFT energy (no corrections) = -16.1 eV per cell
Space group = No. 216

Cell lengths 5.3541, 5.3541, 5.3541 Å; angles 60.00, 60.00, 60.00 degrees
Closest atoms and distances in Å follow each position.
Fractional positions:
Ce1 0.0000 0.0000 0.0000  4 Zn 3.28, 4 Pm 3.28
Pm1 0.2500 0.2500 0.2500  4 Ce 3.28, 4 Ho 3.28
Ho1 0.5000 0.5000 0.5000  4 Zn 3.28, 4 Pm 3.28
Zn1 0.7500 0.7500 0.7500  4 Ce 3.28, 4 Ho 3.28

---

3.
Material: CePmHoZr
Method: DFT, PBE
State: relaxed

DFT formation energy = 0.227 eV per atom
Magnetic moment = 0.6 μB/cell
Total DFT energy (no corrections) = -22.9 eV per cell
Space group = No. 216

Cell lengths 5.4681, 5.4681, 5.4681 Å; angles 60.00, 60.00, 60.00 degrees
Closest atoms and distances in Å follow each position.
Fractional positions:
Ce1 0.0000 0.0000 0.0000  4 Zr 3.35, 4 Ho 3.35
Pm1 0.5000 0.5000 0.5000  4 Zr 3.35, 4 Ho 3.35
Ho1 0.2500 0.2500 0.2500  4 Pm 3.35, 4 Ce 3.35
Zr1 0.7500 0.7500 0.7500  4 Pm 3.35, 4 Ce 3.35

---

4.
Material: Ce2PrHo
Method: DFT, PBE
State: relaxed

DFT formation energy = 0.252 eV per atom
Magnetic moment = 1.7 μB/cell
Total DFT energy (no corrections) = -20.2 eV per cell
Space group = No. 166

Cell lengths 12.5674, 12.5674, 12.5674 Å; angles 15.52, 15.52, 15.52 degrees
Closest atoms and distances in Å follow each position.
Fractional positions:
Ce1 0.0842 0.0842 0.0842  1 Ho 3.14, 6 Ce 3.39
Ce2 0.9158 0.9158 0.9158  1 Ho 3.14, 6 Ce 3.39
Pr1 0.5000 0.5000 0.5000  6 Pr 3.39, 6 Ce 3.64
Ho1 0.0000 0.0000 0.0000  2 Ce 3.14, 6 Ho 3.39

---

Copy entry 3 word for word.
Material: CePmHoZr
Method: DFT, PBE
State: relaxed

DFT formation energy = 0.227 eV per atom
Magnetic moment = 0.6 μB/cell
Total DFT energy (no corrections) = -22.9 eV per cell
Space group = No. 216

Cell lengths 5.4681, 5.4681, 5.4681 Å; angles 60.00, 60.00, 60.00 degrees
Closest atoms and distances in Å follow each position.
Fractional positions:
Ce1 0.0000 0.0000 0.0000  4 Zr 3.35, 4 Ho 3.35
Pm1 0.5000 0.5000 0.5000  4 Zr 3.35, 4 Ho 3.35
Ho1 0.2500 0.2500 0.2500  4 Pm 3.35, 4 Ce 3.35
Zr1 0.7500 0.7500 0.7500  4 Pm 3.35, 4 Ce 3.35

---

Question: Among the records above, which one has the lowest total DFT energy (no corrections)?
Answer: CePm2YHo

---

Question: The lowest DFT formation energy belongs to which entry?
Answer: CePmHoZn